Record 1
First-principles (PBE) data for an optimized crystal structure of YSiNi6B, as listed in Alexandria via LeMat-Bulk.

The calculation puts the formation energy without anion corrections at -217 meV per atom.

It has space group Imma (No. 74), with a = 5.8696 Å, b = 7.6631 Å, c = 10.1052 Å, α = 90.00°, β = 90.00° and γ = 90.00°. The asymmetric unit holds Y at (0.0000, 0.2500, 0.2036), Si at (0.2500, 0.2500, 0.7500), Ni at (0.0000, 0.2500, 0.4805), Ni at (0.0000, 0.2500, 0.9244), Ni at (0.2139, 0.0130, 0.6172) and B at (0.0000, 0.0000, 0.0000).



Record 2
First-principles (PBE) data for an optimized crystal structure of ZrRe2Se, as listed in Alexandria via LeMat-Bulk.

The calculation puts the formation energy without anion corrections at 416 meV per atom.

It has space group F-43m (No. 216), with a = 6.4804 Å, b = 6.4804 Å, c = 6.4804 Å, α = 90.00°, β = 90.00° and γ = 90.00°. The asymmetric unit holds Zr at (0.0000, 0.0000, 0.0000), Re at (0.0000, 0.0000, 0.5000), Re at (0.2500, 0.2500, 0.2500) and Se at (0.2500, 0.2500, 0.7500).



Record 3
First-principles (PBE) data for an optimized crystal structure of Be2As2P, as listed in Alexandria via LeMat-Bulk.

The relative energy among the computed polymorphs comes out at 38.0 kJ/mol of formula units. The calculation puts the formation energy at 508 meV/atom.

It has space group P4/mbm (No. 127), with a = 6.8830 Å, b = 6.8830 Å, c = 3.1646 Å, α = 90.00°, β = 90.00° and γ = 90.00°. The asymmetric unit holds Be at (0.1151, 0.3849, 0.0000), As at (0.1889, 0.6889, 0.5000) and P at (0.0000, 0.0000, 0.5000).



Record 4
First-principles (PBE) data for an optimized crystal structure of MnTeAs3, as listed in Alexandria via LeMat-Bulk.

The relative energy among the computed polymorphs comes out at 0.0 kJ/mol of formula units. The calculation puts the formation energy without anion corrections at 312 meV per atom.

It has space group Pm-3m (No. 221), with a = 4.6651 Å, b = 4.6651 Å, c = 4.6651 Å, α = 90.00°, β = 90.00° and γ = 90.00°. The asymmetric unit holds Mn at (0.0000, 0.0000, 0.0000), Te at (0.5000, 0.5000, 0.5000) and As at (0.0000, 0.0000, 0.5000).



Record 5
First-principles (PBE) data for an optimized crystal structure of CuPt2Rh9, as listed in Alexandria via LeMat-Bulk.

The calculation puts the formation energy at 20 meV/atom.

It has space group P4/mmm (No. 123), with a = 3.8648 Å, b = 3.8648 Å, c = 11.5236 Å, α = 90.00°, β = 90.00° and γ = 90.00°. The asymmetric unit holds Cu at (0.0000, 0.0000, 0.0000), Pt at (0.0000, 0.0000, 0.3316), Rh at (0.0000, 0.5000, 0.1629), Rh at (0.0000, 0.5000, 0.5000), Rh at (0.5000, 0.5000, 0.0000) and Rh at (0.5000, 0.5000, 0.3318).



Record 6
First-principles (PBE) data for an optimized crystal structure of LaZrCo2, as listed in Alexandria via LeMat-Bulk.

The relative energy among the computed polymorphs comes out at 0.0 kJ/mol of formula units. The calculation puts the formation energy at -111 meV/atom.

It has space group P2/m (No. 10), with a = 3.2782 Å, b = 3.2527 Å, c = 6.9778 Å, α = 90.00°, β = 90.12° and γ = 90.00°. The asymmetric unit holds La at (0.0000, 0.0000, 0.0000), Zr at (0.0000, 0.0000, 0.5000) and Co at (0.4994, 0.5000, 0.2960).



For the records above, the corresponding final energy values read -6.134 -8.816 -3.924 -4.940 -6.841 -7.033 eV per atom.
For the records above, the corresponding DOS(E_F) values read 18.4 21.6 3.5 4.4 20.9 3.6 states/eV/cell.